(1)
TmTaNi2 after structural relaxation. Source: Alexandria via LeMat-Bulk, functional PBE-GGA.

The structure belongs to space group P4/mmm (No. 123); the cell edges are 4.632, 4.632 and 2.999 Å and the angles 90.00°, 90.00° and 90.00°. The distinct sites, in fractional coordinates, are Tm at (0.000, 0.000, 0.000), Ta at (0.500, 0.500, 0.000) and Ni at (0.000, 0.500, 0.500).

The formation energy from the elements is -0.167 eV per atom. For the magnetic moment, the calculation gives 0.000 μB per formula unit.


(2)
HoPuO6 after structural relaxation. Source: Alexandria via LeMat-Bulk, functional PBE-GGA.

The structure belongs to space group P-1 (No. 2); the cell edges are 4.251, 5.343 and 5.445 Å and the angles 72.32°, 68.42° and 79.10°. The distinct sites, in fractional coordinates, are Ho at (0.000, 0.000, 0.000), Pu at (0.500, 0.500, 0.500), O at (0.164, 0.272, 0.561), O at (0.198, 0.693, 0.752) and O at (0.477, 0.783, 0.153).

The uncorrected formation energy is -2.118 eV/atom. For the magnetic moment, the calculation gives 0.020 μB per formula unit.


(3)
Ac12In6Rh after structural relaxation. Source: Alexandria via LeMat-Bulk, functional PBE-GGA.

The structure belongs to space group R-3 (No. 148, hexagonal axes); the cell edges are 13.2672, 13.2672 and 14.8634 Å and the angles 90.00°, 90.00° and 120.00°. The distinct sites, in fractional coordinates, are Ac at (0.0342, 0.1935, 0.3893), Ac at (0.0349, 0.8413, 0.8830), In at (0.0069, 0.3973, 0.2561) and Rh at (0.0000, 0.0000, 0.0000).

The formation energy from the elements is -0.260 eV per atom. For the magnetic moment, the calculation gives 0.000 μB per formula unit.


(4)
CeMg3 after structural relaxation. Source: Alexandria via LeMat-Bulk, functional PBE-GGA.

The structure belongs to space group Pmm2 (No. 25); the cell edges are 3.102, 5.283 and 6.216 Å and the angles 90.00°, 90.00° and 90.00°. The distinct sites, in fractional coordinates, are Ce at (0.000, 0.000, 0.000), Mg at (0.000, 0.500, 0.679), Mg at (0.500, 0.000, 0.498) and Mg at (0.500, 0.500, 0.210).

The formation energy from the elements is 0.079 eV per atom. For the magnetic moment, the calculation gives 1.388 μB per formula unit.


(5)
MnAg2Os after structural relaxation. Source: Alexandria via LeMat-Bulk, functional PBE-GGA.

The structure belongs to space group Pmmm (No. 47); the cell edges are 2.827, 4.622 and 4.869 Å and the angles 90.00°, 90.00° and 90.00°. The distinct sites, in fractional coordinates, are Mn at (0.000, 0.000, 0.000), Ag at (0.000, 0.500, 0.500), Ag at (0.500, 0.000, 0.500) and Os at (0.500, 0.500, 0.000).

The formation energy from the elements is 0.544 eV per atom. For the magnetic moment, the calculation gives 3.704 μB per formula unit.


(6)
BaZn3Tc after structural relaxation. Source: Alexandria via LeMat-Bulk, functional PBE-GGA.

The structure belongs to space group Pm-3m (No. 221); the cell edges are 5.891, 5.891 and 5.891 Å and the angles 90.00°, 90.00° and 90.00°. The distinct sites, in fractional coordinates, are Ba at (0.000, 0.000, 0.000), Zn at (0.000, 0.000, 0.500) and Tc at (0.500, 0.500, 0.500).

The formation energy from the elements is 1.742 eV per atom. For the magnetic moment, the calculation gives 3.633 μB per formula unit.


(7)
AcAs4Pd12 after structural relaxation. Source: Alexandria via LeMat-Bulk, functional PBE-GGA.

The structure belongs to space group Im-3 (No. 204); the cell edges are 8.639, 8.639 and 8.639 Å and the angles 90.00°, 90.00° and 90.00°. The distinct sites, in fractional coordinates, are Ac at (0.000, 0.000, 0.000), As at (0.250, 0.250, 0.250) and Pd at (0.000, 0.166, 0.344).

The formation energy from the elements is -0.300 eV per atom. For the magnetic moment, the calculation gives 0.000 μB per formula unit.


(8)
TlCr2Se4 after structural relaxation. Source: Alexandria via LeMat-Bulk, functional PBE-GGA.

The structure belongs to space group P2/m (No. 10); the cell edges are 6.208, 3.639 and 7.952 Å and the angles 90.00°, 90.80° and 90.00°. The distinct sites, in fractional coordinates, are Tl at (0.000, 0.000, 0.000), Cr at (0.000, 0.000, 0.500), Cr at (0.500, 0.500, 0.500), Se at (0.168, 0.500, 0.679) and Se at (0.333, 0.000, 0.322).

The uncorrected formation energy is -0.505 eV/atom. For the magnetic moment, the calculation gives 5.092 μB per formula unit.


(9)
K2Rb4Cd after structural relaxation. Source: Alexandria via LeMat-Bulk, functional PBE-GGA.

The structure belongs to space group I4/mmm (No. 139); the cell edges are 7.138, 7.138 and 22.679 Å and the angles 90.00°, 90.00° and 90.00°. The distinct sites, in fractional coordinates, are K at (0.000, 0.000, 0.133), Rb at (0.000, 0.000, 0.331), Rb at (0.000, 0.500, 0.000) and Cd at (0.000, 0.000, 0.500).

The formation energy from the elements is 0.069 eV per atom. For the magnetic moment, the calculation gives 0.000 μB per formula unit.


(10)
CoReNi4 after structural relaxation. Source: Alexandria via LeMat-Bulk, functional PBE-GGA.

The structure belongs to space group Pmma (No. 51); the cell edges are 7.974, 2.515 and 6.921 Å and the angles 90.00°, 90.00° and 90.00°. The distinct sites, in fractional coordinates, are Co at (0.250, 0.000, 0.179), Re at (0.250, 0.000, 0.533), Ni at (0.000, 0.000, 0.000), Ni at (0.014, 0.500, 0.326) and Ni at (0.250, 0.500, 0.868).

The formation energy from the elements is 0.064 eV per atom. For the magnetic moment, the calculation gives 2.583 μB per formula unit.


(11)
NaTe2Cl after structural relaxation. Source: Alexandria via LeMat-Bulk, functional PBE-GGA.

The structure belongs to space group Fm-3m (No. 225); the cell edges are 7.532, 7.532 and 7.532 Å and the angles 90.00°, 90.00° and 90.00°. The distinct sites, in fractional coordinates, are Na at (0.000, 0.000, 0.000), Te at (0.250, 0.250, 0.250) and Cl at (0.000, 0.000, 0.500).

The uncorrected formation energy is -0.002 eV/atom. For the magnetic moment, the calculation gives 0.000 μB per formula unit.


(12)
LiSm4Mg3 after structural relaxation. Source: Alexandria via LeMat-Bulk, functional PBE-GGA.

The structure belongs to space group R-3m (No. 166, hexagonal axes); the cell edges are 5.4237, 5.4237 and 26.5503 Å and the angles 90.00°, 90.00° and 120.00°. The distinct sites, in fractional coordinates, are Li at (0.0000, 0.0000, 0.0000), Sm at (0.0000, 0.0000, 0.1239), Sm at (0.0000, 0.0000, 0.3742), Mg at (0.0000, 0.0000, 0.2486) and Mg at (0.0000, 0.0000, 0.5000).

The formation energy from the elements is -0.047 eV per atom. For the magnetic moment, the calculation gives 0.000 μB per formula unit.


(13)
Cs2IBr2F4 after structural relaxation. Source: Alexandria via LeMat-Bulk, functional PBE-GGA.

The structure belongs to space group I4/mmm (No. 139); the cell edges are 7.417, 7.417 and 9.606 Å and the angles 90.00°, 90.00° and 90.00°. The distinct sites, in fractional coordinates, are Cs at (0.000, 0.500, 0.250), I at (0.000, 0.000, 0.000), Br at (0.000, 0.000, 0.336) and F at (0.195, 0.195, 0.000).

The uncorrected formation energy is -1.643 eV/atom. For the magnetic moment, the calculation gives 0.000 μB per formula unit.


(14)
Rb2YTaSb after structural relaxation. Source: Alexandria via LeMat-Bulk, functional PBE-GGA.

The structure belongs to space group P4/mmm (No. 123); the cell edges are 6.667, 6.667 and 5.345 Å and the angles 90.00°, 90.00° and 90.00°. The distinct sites, in fractional coordinates, are Rb at (0.000, 0.500, 0.000), Y at (0.000, 0.000, 0.500), Ta at (0.500, 0.500, 0.500) and Sb at (0.500, 0.500, 0.000).

The uncorrected formation energy is 1.133 eV/atom. For the magnetic moment, the calculation gives 3.375 μB per formula unit.


(15)
CoTc3Hg after structural relaxation. Source: Alexandria via LeMat-Bulk, functional PBE-GGA.

The structure belongs to space group Pm-3m (No. 221); the cell edges are 4.443, 4.443 and 4.443 Å and the angles 90.00°, 90.00° and 90.00°. The distinct sites, in fractional coordinates, are Co at (0.000, 0.000, 0.000), Tc at (0.000, 0.000, 0.500) and Hg at (0.500, 0.500, 0.500).

The formation energy from the elements is 1.314 eV per atom. For the magnetic moment, the calculation gives 1.332 μB per formula unit.


(16)
TbPaInTc after structural relaxation. Source: Alexandria via LeMat-Bulk, functional PBE-GGA.

The structure belongs to space group F-43m (No. 216); the cell edges are 7.197, 7.197 and 7.197 Å and the angles 90.00°, 90.00° and 90.00°. The distinct sites, in fractional coordinates, are Tb at (0.000, 0.000, 0.000), Pa at (0.000, 0.000, 0.500), In at (0.250, 0.250, 0.250) and Tc at (0.250, 0.250, 0.750).

The formation energy from the elements is 0.031 eV per atom. For the magnetic moment, the calculation gives 0.000 μB per formula unit.


(17)
Tb3PrTe after structural relaxation. Source: Alexandria via LeMat-Bulk, functional PBE-GGA.

The structure belongs to space group Pnma (No. 62); the cell edges are 10.953, 3.933 and 14.681 Å and the angles 90.00°, 90.00° and 90.00°. The distinct sites, in fractional coordinates, are Tb at (0.067, 0.250, 0.083), Tb at (0.078, 0.750, 0.293), Tb at (0.179, 0.750, 0.706), Pr at (0.168, 0.250, 0.497) and Te at (0.149, 0.250, 0.873).

The uncorrected formation energy is -0.479 eV/atom. For the magnetic moment, the calculation gives 0.000 μB per formula unit.


(18)
SnSbSeI2 after structural relaxation. Source: Alexandria via LeMat-Bulk, functional PBE-GGA.

The structure belongs to space group P4/mmm (No. 123); the cell edges are 5.727, 5.727 and 6.101 Å and the angles 90.00°, 90.00° and 90.00°. The distinct sites, in fractional coordinates, are Sn at (0.000, 0.000, 0.000), Sb at (0.000, 0.000, 0.500), Se at (0.500, 0.500, 0.500) and I at (0.000, 0.500, 0.000).

The uncorrected formation energy is 0.572 eV/atom. For the magnetic moment, the calculation gives 0.002 μB per formula unit.


(19)
RhAuICl after structural relaxation. Source: Alexandria via LeMat-Bulk, functional PBE-GGA.

The structure belongs to space group Cm (No. 8); the cell edges are 11.241, 4.638 and 3.805 Å and the angles 90.00°, 91.63° and 90.00°. The distinct sites, in fractional coordinates, are Rh at (0.000, 0.000, 0.000), Au at (0.325, 0.500, 0.483), I at (0.160, 0.000, 0.511) and Cl at (0.453, 0.000, 0.009).

The uncorrected formation energy is 0.069 eV/atom. For the magnetic moment, the calculation gives 0.000 μB per formula unit.